# 1
GGA-PBE Tl2NiRh, optimized geometry; ΔH_f (0 K) = 0.795 eV/atom; space-group type = I-42d (122); N(E_F) = 0.987 states/eV per atom; energy above the lowest structure with this stoichiometry = 592 meV/atom
1.0
6.038 0.000 0.000
0.000 6.038 0.000
3.019 3.019 5.976
Ni Tl Rh
2 4 2
Cartesian
3.019 3.019 0.000
3.019 6.038 2.988
4.442 1.509 1.494
1.596 4.528 1.494
7.547 7.461 4.482
4.528 4.615 4.482
0.000 0.000 0.000
6.038 3.019 2.988

***

# 2
GGA-PBE Bi2AsPb, optimized geometry; ΔH_f (0 K) = 0.093 eV/atom; space-group type = R3m (160); N(E_F) = 0.378 states/eV per atom; energy above the lowest structure with this stoichiometry = 0 meV/atom
1.0
4.093 0.000 0.000
2.047 3.545 0.000
2.047 1.182 8.820
As Pb Bi
1 1 2
Cartesian
6.140 3.545 8.665
4.093 2.363 4.217
2.047 1.182 2.097
2.047 1.182 7.071

***

# 3
GGA-PBE ZrZnSe2Br, optimized geometry; raw formation energy = 0.041 eV/atom; space-group type = P4/mmm (123); N(E_F) = 1.045 states/eV per atom; energy above the lowest structure with this stoichiometry = 540 meV/atom
1.0
-3.418 0.077 -3.590
-1.988 -4.169 1.802
-2.933 2.630 2.849
Br Se Zn Zr
1 2 1 1
Cartesian
-1.467 1.315 1.424
-1.709 0.039 -1.795
-0.994 -2.085 0.901
0.000 0.000 0.000
-4.169 -0.731 0.530

***

# 4
GGA-PBE TeRh2Br, optimized geometry; raw formation energy = 0.428 eV/atom; space-group type = I-4m2 (119); N(E_F) = 1.020 states/eV per atom; energy above the lowest structure with this stoichiometry = 535 meV/atom
1.0
-1.677 1.827 5.181
-4.816 -1.774 2.580
4.621 -2.065 -2.717
Br Rh Te
1 2 1
Cartesian
-0.152 -0.106 3.172
0.000 0.000 0.000
-1.721 -1.906 1.872
-3.247 0.027 3.881

***

# 5
GGA-PBE U2SbH, optimized geometry; space-group type = P2_1/m (11); N(E_F) = 1.648 states/eV per atom; energy above the lowest structure with this stoichiometry = 0 meV/atom
1.0
3.770 0.000 0.000
0.000 4.799 -1.181
0.000 -0.649 8.059
Sb H U
2 2 4
Cartesian
2.828 1.459 6.068
0.943 2.691 0.810
0.943 2.739 3.987
2.828 1.410 2.890
2.828 0.186 0.868
2.828 3.645 3.104
0.943 0.505 3.774
0.943 3.963 6.010

***

# 6
GGA-PBE YP3Pt, optimized geometry; ΔH_f (0 K) = 1.228 eV/atom; space-group type = Pm-3m (221); N(E_F) = 0.965 states/eV per atom; energy above the lowest structure with this stoichiometry = 1186 meV/atom
1.0
-0.612 4.694 2.044
1.915 -1.699 4.475
4.748 1.291 -1.541
P Pt Y
3 1 1
Cartesian
-0.306 2.347 1.022
0.957 -0.849 2.238
2.374 0.645 -0.771
3.025 2.143 2.489
0.000 0.000 0.000

***

# 7
GGA-PBE LaZrBe2, optimized geometry; ΔH_f (0 K) = 0.076 eV/atom; space-group type = Pmmm (47); N(E_F) = 0.586 states/eV per atom; energy above the lowest structure with this stoichiometry = 0 meV/atom
1.0
-2.267 1.999 -1.472
-2.478 -1.552 1.708
-1.812 2.899 6.725
Zr Be La
1 2 1
Cartesian
-4.351 2.009 5.589
-1.854 2.621 6.412
-2.103 0.951 4.530
-2.206 1.336 1.372

***

# 8
GGA-PBE SmTaIr2, optimized geometry; ΔH_f (0 K) = -0.576 eV/atom; space-group type = P4/mmm (123); N(E_F) = 0.637 states/eV per atom
1.0
3.154 0.000 0.000
0.000 3.154 0.000
0.000 0.000 7.604
Ir Sm Ta
2 1 1
Cartesian
0.000 0.000 6.061
0.000 0.000 1.543
1.577 1.577 3.802
1.577 1.577 0.000

***

# 9
GGA-PBE La4NiGeBr2, optimized geometry; raw formation energy = -1.008 eV/atom; space-group type = P2/m (10); N(E_F) = 0.884 states/eV per atom
1.0
-3.157 2.567 0.961
-4.727 -6.070 0.686
3.202 1.317 6.998
La Br Ge Ni
4 2 1 1
Cartesian
-1.961 0.235 2.024
-2.792 -4.208 2.069
1.266 -0.545 5.615
-2.721 -2.421 6.621
0.022 1.942 3.979
-0.763 -2.376 3.842
-3.942 -1.751 0.824
0.000 0.000 0.000

***

# 10
GGA-PBE MnRe2P, optimized geometry; ΔH_f (0 K) = -0.022 eV/atom; space-group type = P4/mmm (123); N(E_F) = 0.493 states/eV per atom
1.0
4.237 0.000 0.000
0.000 4.237 0.000
0.000 0.000 2.938
Mn Re P
1 2 1
Cartesian
2.119 2.119 1.469
0.000 2.119 0.000
2.119 0.000 0.000
0.000 0.000 1.469

***

# 11
GGA-PBE Sc2TaCd, optimized geometry; ΔH_f (0 K) = 0.118 eV/atom; space-group type = Imm2 (44); N(E_F) = 1.251 states/eV per atom
1.0
-4.149 4.290 1.166
-5.254 -1.392 2.727
6.076 0.218 0.131
Cd Sc Ta
1 2 1
Cartesian
-2.021 0.163 2.436
-1.244 2.934 1.563
-0.152 0.047 0.063
-4.612 1.421 1.909